1.
A geometry-optimized NpNb2Ru structure, computed with PBE-GGA.

Unit cell a=3.8661 b=3.8661 c=4.9827 alpha=90.00 beta=90.00 gamma=90.00
Closest atoms and distances in Å follow each position.
Fractional coordinates of all 4 atoms:
Np 0.0000 0.0000 0.0000  4 Ru 2.73
Nb 0.0000 0.5000 0.5000  4 Nb 2.73
Nb 0.5000 0.0000 0.5000  4 Nb 2.73
Ru 0.5000 0.5000 0.0000  4 Np 2.73

SG: P4/mmm, No. 123
E_form: 0.164 eV per atom
Fermi-level density of states: 7.386 states/eV/cell
Total moment: 3.028 μB per cell


2.
A geometry-optimized NpNbRu2 structure, computed with PBE-GGA.

Unit cell a=3.1234 b=3.1234 c=7.1564 alpha=90.00 beta=90.00 gamma=90.00
Closest atoms and distances in Å follow each position.
Fractional coordinates of all 4 atoms:
Np 0.0000 0.0000 0.0000  8 Ru 2.97, 4 Np 3.12
Nb 0.0000 0.0000 0.5000  8 Ru 2.72
Ru 0.5000 0.5000 0.2772  4 Nb 2.72, 4 Np 2.97
Ru 0.5000 0.5000 0.7228  4 Nb 2.72, 4 Np 2.97

SG: P4/mmm, No. 123
E_form: -0.100 eV per atom
Fermi-level density of states: 6.111 states/eV/cell
Total moment: 3.003 μB per cell


3.
A geometry-optimized NpNb2Ru structure, computed with PBE-GGA.

Unit cell a=4.6497 b=4.6497 c=4.6497 alpha=60.00 beta=60.00 gamma=60.00
Closest atoms and distances in Å follow each position.
Fractional coordinates of all 4 atoms:
Np 0.0000 0.0000 0.0000  8 Nb 2.85
Nb 0.2500 0.2500 0.2500  4 Ru 2.85, 4 Np 2.85
Nb 0.7500 0.7500 0.7500  4 Ru 2.85, 4 Np 2.85
Ru 0.5000 0.5000 0.5000  8 Nb 2.85

SG: Fm-3m, No. 225
E_form: 0.224 eV per atom
Fermi-level density of states: 12.639 states/eV/cell
Total moment: 3.023 μB per cell


4.
A geometry-optimized NpNb2Ru structure, computed with PBE-GGA.

Unit cell a=3.0922 b=3.0922 c=7.7362 alpha=90.00 beta=90.00 gamma=90.00
Closest atoms and distances in Å follow each position.
Fractional coordinates of all 4 atoms:
Np 0.0000 0.0000 0.0000  4 Np 3.09, 8 Nb 3.10
Nb 0.5000 0.5000 0.2848  4 Ru 2.75
Nb 0.5000 0.5000 0.7152  4 Ru 2.75
Ru 0.0000 0.0000 0.5000  8 Nb 2.75

SG: P4/mmm, No. 123
E_form: 0.130 eV per atom
Fermi-level density of states: 6.685 states/eV/cell
Total moment: 3.282 μB per cell


Number 1: calculated volume 74.5 Å³ per cell. Number 2: calculated volume 69.8 Å³ per cell. Number 3: calculated volume 71.1 Å³ per cell. Number 4: calculated volume 74.0 Å³ per cell.